Here is crystalline TlTcAs2 at its relaxed geometry from the Alexandria database. Energies are from PBE-GGA.

Properties
**M_tot**: 0.0 μB per formula unit
**ΔE_f**: 0.7544 eV/atom
**ΔE to the lowest computed polymorph**: 877 meV per atom

abc: 6.720 6.720 6.720
angles: 90.00 90.00 90.00
Space group F-43m (No. 216)
Inequivalent atoms, fractional coordinates:
Tl1 0.000 0.000 0.000
Tc1 0.250 0.250 0.750
As1 0.000 0.000 0.500
As2 0.250 0.250 0.250

Here is crystalline Pm5BeSe4 at its relaxed geometry from the Alexandria database. Energies are from PBE-GGA.

Properties
**E_form (uncorrected)**: -1.47 eV per atom
**M_tot**: 0.0 μB per formula unit

abc: 9.368 9.368 5.914
angles: 90.00 90.00 90.00
Space group I4/m (No. 87)
Inequivalent atoms, fractional coordinates:
Pm1 0.000 0.000 0.000
Pm2 0.097 0.291 0.500
Be1 0.000 0.000 0.500
Se1 0.096 0.302 0.000

Here is crystalline LiCo2Ge at its relaxed geometry from the Alexandria database. Energies are from PBE-GGA.

Properties
**M_tot**: 0.0 μB per formula unit
**ΔE_f**: -0.0977 eV/atom

abc: 3.932 3.932 2.886
angles: 90.00 90.00 90.00
Space group P4/mmm (No. 123)
Inequivalent atoms, fractional coordinates:
Li1 0.000 0.000 0.000
Co1 0.000 0.500 0.500
Ge1 0.500 0.500 0.000

| no. | density of states at the Fermi level (states/eV/cell) | ρ (Mg/m³) | E_tot (eV per atom) |
| --- | --- | --- | --- |
| 1 | 13.5 | 9.9 | -4.75 |
| 2 | 6.6 | 6.7 | -5.61 |
| 3 | 4.2 | 7.3 | -5.28 |